The following is a DFT calculation (GGA-PBE) of a geometry-optimized PmPu4Au5 structure.

The value obtained for the energy relative to the elements is -10.82 kcal/mol of atoms. The magnetic moment is 0.12 Bohr magnetons per cell. As for the density of states at the Fermi level: 38.2 states/eV per cell.

It has space group P4/mmm (No. 123), with a = 3.5914 Å, b = 3.5914 Å, c = 18.8336 Å, α = 90.00°, β = 90.00° and γ = 90.00°. Symmetry generates all atoms from Pm at (0.0000, 0.0000, 0.0000), Pu at (0.0000, 0.0000, 0.2009), Pu at (0.0000, 0.0000, 0.4008), Au at (0.5000, 0.5000, 0.0983), Au at (0.5000, 0.5000, 0.3004) and Au at (0.5000, 0.5000, 0.5000).